Entry 1:
{
  "formula": "Lu2TlRu",
  "functional": "PBE",
  "state": "optimized geometry",
  "relative_energy_ev_per_fu": 0.77,
  "total_energy_ev_per_atom": -5.4562,
  "sg": "Fm-3m (225)",
  "dos_ef_per_ev_cell": 2.85,
  "lattice_angstrom": [[-3.520, -3.475, -0.574], [1.248, -4.586, -1.486], [-0.278, -3.813, 3.190]],
  "species": ["Lu", "Lu", "Tl", "Ru"],
  "frac_coords": [[0.750, 0.750, 0.750], [0.250, 0.250, 0.250], [0.000, 0.000, 0.000], [0.500, 0.500, 0.500]]
}


Entry 2:
{
  "formula": "Lu2TlRu",
  "functional": "PBE",
  "state": "optimized geometry",
  "relative_energy_ev_per_fu": 0.74,
  "total_energy_ev_per_atom": -5.4642,
  "sg": "P4/mmm (123)",
  "dos_ef_per_ev_cell": 2.06,
  "lattice_angstrom": [[3.590, 0.000, 0.000], [0.000, 4.937, 0.000], [0.000, 0.000, 4.937]],
  "species": ["Lu", "Lu", "Tl", "Ru"],
  "frac_coords": [[0.000, 0.000, 0.500], [0.000, 0.500, 0.000], [0.500, 0.500, 0.500], [0.500, 0.000, 0.000]]
}